--- a ---
InSiW2: optimized geometry, PBE.

a b c (Å): 3.299 4.722 8.550
angles (deg): 90.00 90.00 90.00
Space group Cmmm (No. 65)
Unique sites:
In: 0.000 0.000 0.000 [2 per cell]
Si: 0.000 0.000 0.500 [2 per cell]
W: 0.000 0.500 0.279 [4 per cell]

Density of states at the Fermi level   5.58 states/eV per cell
Total magnetization   0.000 μB per formula unit

***

--- b ---
InSiW2: optimized geometry, PBE.

a b c (Å): 5.605 8.497 2.791
angles (deg): 90.00 90.00 90.00
Space group Cmmm (No. 65)
Unique sites:
In: 0.000 0.000 0.000 [2 per cell]
Si: 0.000 0.500 0.000 [2 per cell]
W: 0.250 0.250 0.500 [4 per cell]

Density of states at the Fermi level   7.70 states/eV per cell
Total magnetization   0.000 μB per formula unit

***

The winner here is a, beating the second structure by 315 meV per atom.

***

--- a ---
InSi3W: optimized geometry, PBE.

a b c (Å): 4.866 4.866 4.866
angles (deg): 90.00 90.00 90.00
Space group Pm-3m (No. 221)
Unique sites:
In: 0.000 0.000 0.000 [1 per cell]
Si: 0.000 0.000 0.500 [3 per cell]
W: 0.500 0.500 0.500 [1 per cell]

Density of states at the Fermi level   7.88 states/eV per cell
Total magnetization   0.001 μB per formula unit

***

--- b ---
InSi3W: optimized geometry, PBE.

a b c (Å): 4.821 4.821 4.821
angles (deg): 90.00 90.00 90.00
Space group Pm-3m (No. 221)
Unique sites:
In: 0.000 0.000 0.000 [1 per cell]
Si: 0.000 0.500 0.500 [3 per cell]
W: 0.500 0.500 0.500 [1 per cell]

Density of states at the Fermi level   2.64 states/eV per cell
Total magnetization   0.000 μB per formula unit

***

The winner here is b, beating the second structure by 1787 meV per atom.

***

--- a ---
YInSi2: optimized geometry, PBE.

a b c (Å): 3.240 3.240 8.286
angles (deg): 90.00 90.00 90.00
Space group P4/mmm (No. 123)
Unique sites:
Y: 0.000 0.000 0.000 [1 per cell]
In: 0.000 0.000 0.500 [1 per cell]
Si: 0.500 0.500 0.242 [2 per cell]

Density of states at the Fermi level   1.76 states/eV per cell
Total magnetization   0.000 μB per formula unit

***

--- b ---
YInSi2: optimized geometry, PBE.

a b c (Å): 7.583 7.583 6.256
angles (deg): 90.00 90.00 90.00
Space group I-42d (No. 122)
Unique sites:
Y: 0.000 0.000 0.000 [4 per cell]
In: 0.000 0.000 0.500 [4 per cell]
Si: 0.222 0.250 0.625 [8 per cell]

Density of states at the Fermi level   2.07 states/eV per cell
Total magnetization   0.000 μB per formula unit

***

The winner here is b, beating the second structure by 84 meV per atom.

***

--- a ---
YIn2Si: optimized geometry, PBE.

a b c (Å): 3.229 5.089 5.705
angles (deg): 90.00 92.22 90.00
Space group P2/m (No. 10)
Unique sites:
Y: 0.000 0.000 0.000 [1 per cell]
In: 0.461 0.500 0.748 [2 per cell]
Si: 0.500 0.000 0.500 [1 per cell]

Density of states at the Fermi level   2.31 states/eV per cell
Total magnetization   0.000 μB per formula unit

***

--- b ---
YIn2Si: optimized geometry, PBE.

a b c (Å): 3.774 3.774 6.646
angles (deg): 90.00 90.00 90.00
Space group P4mm (No. 99)
Unique sites:
Y: 0.000 0.000 0.000 [1 per cell]
In: 0.000 0.000 0.536 [1 per cell]
In: 0.500 0.500 0.294 [1 per cell]
Si: 0.500 0.500 0.755 [1 per cell]

Density of states at the Fermi level   2.57 states/eV per cell
Total magnetization   0.000 μB per formula unit

***

The winner here is b, beating the second structure by 39 meV per atom.

***

--- a ---
YIn2Si: optimized geometry, PBE.

a b c (Å): 4.225 4.016 6.160
angles (deg): 90.00 110.04 90.00
Space group Pm (No. 6)
Unique sites:
Y: 0.000 0.000 0.000 [1 per cell]
In: 0.310 0.500 0.617 [1 per cell]
In: 0.721 0.000 0.440 [1 per cell]
Si: 0.543 0.500 0.088 [1 per cell]

Density of states at the Fermi level   1.33 states/eV per cell
Total magnetization   0.000 μB per formula unit

***

--- b ---
YIn2Si: optimized geometry, PBE.

a b c (Å): 4.369 4.369 9.585
angles (deg): 90.00 90.00 90.00
Space group I-4m2 (No. 119)
Unique sites:
Y: 0.000 0.000 0.000 [2 per cell]
In: 0.000 0.000 0.500 [2 per cell]
In: 0.000 0.500 0.750 [2 per cell]
Si: 0.000 0.500 0.250 [2 per cell]

Density of states at the Fermi level   4.81 states/eV per cell
Total magnetization   0.000 μB per formula unit

***

The winner here is a, beating the second structure by 22 meV per atom.

***

--- a ---
Y2In2Si: optimized geometry, PBE.

a b c (Å): 7.298 7.298 4.717
angles (deg): 90.00 90.00 90.00
Space group P4/mbm (No. 127)
Unique sites:
Y: 0.169 0.331 0.000 [4 per cell]
In: 0.138 0.638 0.500 [4 per cell]
Si: 0.000 0.000 0.500 [2 per cell]

Density of states at the Fermi level   3.16 states/eV per cell
Total magnetization   0.000 μB per formula unit

***

--- b ---
Y2In2Si: optimized geometry, PBE.

a b c (Å): 7.533 7.533 4.852
angles (deg): 90.00 90.00 90.00
Space group P4/mbm (No. 127)
Unique sites:
Y: 0.164 0.336 0.000 [4 per cell]
In: 0.145 0.645 0.500 [4 per cell]
Si: 0.000 0.000 0.000 [2 per cell]

Density of states at the Fermi level   7.76 states/eV per cell
Total magnetization   0.000 μB per formula unit

***

The winner here is a, beating the second structure by 67 meV per atom.

***

--- a ---
ZrInSi: optimized geometry, PBE.

a b c (Å): 3.135 3.708 10.473
angles (deg): 90.00 90.00 90.00
Space group Imm2 (No. 44)
Unique sites:
Zr: 0.000 0.000 0.000 [2 per cell]
In: 0.000 0.000 0.699 [2 per cell]
Si: 0.000 0.000 0.367 [2 per cell]

Density of states at the Fermi level   4.85 states/eV per cell
Total magnetization   0.000 μB per formula unit

***

--- b ---
ZrInSi: optimized geometry, PBE.

a b c (Å): 6.406 6.406 6.406
angles (deg): 90.00 90.00 90.00
Space group F-43m (No. 216)
Unique sites:
Zr: 0.000 0.000 0.000 [4 per cell]
In: 0.000 0.000 0.500 [4 per cell]
Si: 0.250 0.250 0.750 [4 per cell]

Density of states at the Fermi level   15.40 states/eV per cell
Total magnetization   0.222 μB per formula unit

***

--- c ---
ZrInSi: optimized geometry, PBE.

a b c (Å): 4.7934 4.7934 2.9672
angles (deg): 90.00 90.00 120.00
Space group P-6m2 (No. 187)
Unique sites:
Zr: 0.0000 0.0000 0.0000 [1 per cell]
In: 0.6667 0.3333 0.5000 [1 per cell]
Si: 0.3333 0.6667 0.5000 [1 per cell]

Density of states at the Fermi level   3.31 states/eV per cell
Total magnetization   0.001 μB per formula unit

***

The winner here is a, beating the second structure by 120 meV per atom.

***

--- a ---
ZrInSi: optimized geometry, PBE.

a b c (Å): 4.380 5.213 10.703
angles (deg): 90.00 90.00 90.00
Space group Fmm2 (No. 42)
Unique sites:
Zr: 0.000 0.000 0.000 [4 per cell]
In: 0.000 0.000 0.305 [4 per cell]
Si: 0.000 0.000 0.645 [4 per cell]

Density of states at the Fermi level   5.78 states/eV per cell
Total magnetization   0.000 μB per formula unit

***

--- b ---
ZrInSi: optimized geometry, PBE.

a b c (Å): 3.1677 3.1677 7.1560
angles (deg): 90.00 90.00 120.00
Space group P3m1 (No. 156)
Unique sites:
Zr: 0.0000 0.0000 0.0000 [1 per cell]
In: 0.6667 0.3333 0.3624 [1 per cell]
Si: 0.3333 0.6667 0.6924 [1 per cell]

Density of states at the Fermi level   2.57 states/eV per cell
Total magnetization   0.000 μB per formula unit

***

--- c ---
ZrInSi: optimized geometry, PBE.

a b c (Å): 6.602 6.602 6.602
angles (deg): 90.00 90.00 90.00
Space group F-43m (No. 216)
Unique sites:
Zr: 0.000 0.000 0.000 [4 per cell]
In: 0.250 0.250 0.250 [4 per cell]
Si: 0.250 0.250 0.750 [4 per cell]

Density of states at the Fermi level   7.18 states/eV per cell
Total magnetization   0.000 μB per formula unit

***

The winner here is a, beating the second structure by 164 meV per atom.

***

--- a ---
Sm13In2: optimized geometry, PBE.

a b c (Å): 6.881 8.704 9.081
angles (deg): 66.43 79.02 82.72
Space group P-1 (No. 2)
Unique sites:
Sm: 0.000 0.000 0.000 [1 per cell]
Sm: 0.122 0.477 0.736 [2 per cell]
Sm: 0.198 0.228 0.156 [2 per cell]
Sm: 0.261 0.935 0.586 [2 per cell]
Sm: 0.307 0.653 0.974 [2 per cell]
Sm: 0.363 0.414 0.392 [2 per cell]
Sm: 0.493 0.142 0.795 [2 per cell]
In: 0.058 0.772 0.382 [2 per cell]

Density of states at the Fermi level   21.11 states/eV per cell
Total magnetization   0.000 μB per formula unit

***

--- b ---
Sm13In2: optimized geometry, PBE.

a b c (Å): 8.9349 8.9349 24.8474
angles (deg): 90.00 90.00 120.00
Space group R-3m (No. 166, hexagonal axes)
Unique sites:
Sm: 0.0000 0.0000 0.0000 [3 per cell]
Sm: 0.0705 0.5352 0.4343 [18 per cell]
Sm: 0.0862 0.5431 0.2975 [18 per cell]
In: 0.0000 0.0000 0.1301 [6 per cell]

Density of states at the Fermi level   70.32 states/eV per cell
Total magnetization   0.001 μB per formula unit

***

The winner here is a, beating the second structure by 409 meV per atom.

***

--- a ---
Sm2In3: optimized geometry, PBE.

a b c (Å): 3.741 29.815 4.922
angles (deg): 90.00 90.00 90.00
Space group Cmcm (No. 63)
Unique sites:
Sm: 0.000 0.073 0.250 [4 per cell]
Sm: 0.000 0.213 0.750 [4 per cell]
In: 0.000 0.324 0.750 [4 per cell]
In: 0.000 0.380 0.250 [4 per cell]
In: 0.000 0.476 0.250 [4 per cell]

Density of states at the Fermi level   12.79 states/eV per cell
Total magnetization   0.447 μB per formula unit

***

--- b ---
Sm2In3: optimized geometry, PBE.

a b c (Å): 10.672 10.672 10.672
angles (deg): 90.00 90.00 90.00
Space group I-43d (No. 220)
Unique sites:
Sm: 0.039 0.039 0.039 [16 per cell]
In: 0.000 0.250 0.241 [24 per cell]

Density of states at the Fermi level   32.70 states/eV per cell
Total magnetization   0.000 μB per formula unit

***

The winner here is a, beating the second structure by 230 meV per atom.

***

--- a ---
SmIn4: optimized geometry, PBE.

a b c (Å): 4.504 4.504 13.775
angles (deg): 90.00 90.00 90.00
Space group I4/mmm (No. 139)
Unique sites:
Sm: 0.000 0.000 0.000 [2 per cell]
In: 0.000 0.000 0.398 [4 per cell]
In: 0.000 0.500 0.250 [4 per cell]

Density of states at the Fermi level   3.60 states/eV per cell
Total magnetization   0.000 μB per formula unit

***

--- b ---
SmIn4: optimized geometry, PBE.

a b c (Å): 5.959 5.959 5.959
angles (deg): 90.00 90.00 90.00
Space group Pm-3m (No. 221)
Unique sites:
Sm: 0.000 0.000 0.000 [1 per cell]
In: 0.000 0.000 0.500 [3 per cell]
In: 0.500 0.500 0.500 [1 per cell]

Density of states at the Fermi level   4.19 states/eV per cell
Total magnetization   0.000 μB per formula unit

***

The winner here is a, beating the second structure by 663 meV per atom.

***

--- a ---
Sm3In5: optimized geometry, PBE.

a b c (Å): 9.193 9.690 4.866
angles (deg): 90.00 90.00 90.00
Space group Cmmm (No. 65)
Unique sites:
Sm: 0.000 0.000 0.000 [2 per cell]
Sm: 0.000 0.274 0.500 [4 per cell]
In: 0.000 0.500 0.000 [2 per cell]
In: 0.234 0.000 0.500 [4 per cell]
In: 0.250 0.250 0.000 [4 per cell]

Density of states at the Fermi level   9.45 states/eV per cell
Total magnetization   0.000 μB per formula unit

***

--- b ---
Sm3In5: optimized geometry, PBE.

a b c (Å): 10.075 8.221 10.512
angles (deg): 90.00 90.00 90.00
Space group Cmcm (No. 63)
Unique sites:
Sm: 0.000 0.125 0.250 [4 per cell]
Sm: 0.203 0.500 0.000 [8 per cell]
In: 0.000 0.192 0.546 [8 per cell]
In: 0.000 0.491 0.750 [4 per cell]
In: 0.215 0.209 0.750 [8 per cell]

Density of states at the Fermi level   19.59 states/eV per cell
Total magnetization   0.000 μB per formula unit

***

The winner here is b, beating the second structure by 60 meV per atom.